1.
Here is a relaxed Er3Th5Sc4 crystal from the Alexandria database. Energies are from GGA-PBE.

Calculated values
**Energy above the most stable polymorph in this dataset**: 2.66 eV per formula unit
**DFT total energy**: -0.21863 Ha/atom
**Space-group type**: C2/m
**Calculated volume**: 362 Å³/cell
**Crystal system**: monoclinic
**D(E_F)**: 1.58 states/eV per atom

abc: 5.8961 6.9706 11.3905
angles: 58.80 75.00 64.98
Element x y z (fractional)
1 Er 0.3720 0.9962 0.2599
2 Er 0.0000 0.5000 0.5000
3 Er 0.6280 0.0038 0.7401
4 Th 0.3726 0.3453 0.9095
5 Th 0.5000 0.5000 0.5000
6 Th 0.1069 0.8945 0.8916
7 Th 0.8931 0.1055 0.1084
8 Th 0.6274 0.6547 0.0905
9 Sc 0.8583 0.5002 0.7831
10 Sc 0.2494 0.9176 0.5836
11 Sc 0.7506 0.0824 0.4164
12 Sc 0.1417 0.4998 0.2169

***

2.
Here is a relaxed CuSi2Sn crystal from the Alexandria database. Energies are from GGA-PBE.

Calculated values
**Raw formation energy**: 295.8 meV per atom
**DFT total energy**: -0.16319 Ha/atom
**Space-group type**: I-42d
**Calculated volume**: 161 Å³/cell
**Crystal system**: tetragonal
**D(E_F)**: 0.52 states/eV per atom

abc: 4.5945 4.5945 8.2803
angles: 73.89 73.89 90.00
Element x y z (fractional)
1 Si 0.5147 0.1250 0.2500
2 Si 0.2353 0.6250 0.2500
3 Si 0.3750 0.4853 0.7500
4 Si 0.8750 0.7647 0.7500
5 Sn 0.0000 0.0000 0.0000
6 Sn 0.7500 0.2500 0.5000
7 Cu 0.5000 0.5000 0.0000
8 Cu 0.2500 0.7500 0.5000

***

3.
Here is a relaxed Pm2BeNi crystal from the Alexandria database. Energies are from GGA-PBE.

Calculated values
**Energy above the most stable polymorph in this dataset**: 0.00 eV per formula unit
**DFT total energy**: -0.18055 Ha/atom
**Space-group type**: R3m
**Calculated volume**: 94 Å³/cell
**Crystal system**: trigonal
**D(E_F)**: 1.04 states/eV per atom

abc: 3.9883 3.9908 7.1879
angles: 73.82 73.89 60.02
Site moments in Bohr magnetons follow the coordinates.
Element x y z (fractional)
1 Pm 0.8894 0.6530 0.5683  0.10
2 Pm 0.7151 0.4783 0.0915  0.07
3 Be 0.4697 0.2324 0.8281  0.00
4 Ni 0.1361 0.8983 0.8296  0.03

***

4.
Here is a relaxed SrRePb crystal from the Alexandria database. Energies are from GGA-PBE.

Calculated values
**Energy above the most stable polymorph in this dataset**: 2.97 eV per formula unit
**DFT total energy**: -0.15603 Ha/atom
**Space-group type**: F-43m
**Calculated volume**: 99 Å³/cell
**Crystal system**: cubic
**D(E_F)**: 1.01 states/eV per atom

abc: 5.1853 5.1853 5.1853
angles: 60.00 60.00 60.00
Site moments in Bohr magnetons follow the coordinates.
Element x y z (fractional)
1 Pb 0.0000 0.0000 0.0000  -0.07
2 Re 0.5000 0.5000 0.5000  2.74
3 Sr 0.2500 0.2500 0.2500  0.04

***

5.
Here is a relaxed LiCuSbO4 crystal from the Alexandria database. Energies are from GGA-PBE.

Calculated values
**Raw formation energy**: -1343.6 meV per atom
**Energy above the most stable polymorph in this dataset**: 0.00 eV per formula unit
**DFT total energy**: -0.20669 Ha/atom
**Space-group type**: Cmc2_1
**Calculated volume**: 320 Å³/cell
**Crystal system**: orthorhombic
**D(E_F)**: 0.00 states/eV per atom

abc: 9.9228 5.7915 6.2766
angles: 62.53 90.00 90.00
Site moments in Bohr magnetons follow the coordinates.
Element x y z (fractional)
1 Li 0.7997 0.6333 0.7335  0.00
2 Li 0.2997 0.3667 0.2665  0.00
3 Li 0.2312 0.0001 0.9984  0.00
4 Li 0.7312 0.9999 0.0016  0.00
5 Cu 0.4995 0.8406 0.8184  0.60
6 Cu 0.4996 0.3422 0.8189  0.60
7 Cu 0.9995 0.1594 0.1816  0.60
8 Cu 0.9996 0.6578 0.1811  0.60
9 Sb 0.2319 0.6926 0.6143  0.01
10 Sb 0.7319 0.3074 0.3857  0.01
11 Sb 0.5041 0.8325 0.3355  0.00
12 Sb 0.0041 0.1675 0.6645  0.00
13 O 0.1239 0.8465 0.3057  0.16
14 O 0.6239 0.1535 0.6943  0.16
15 O 0.4221 0.9972 0.0064  0.14
16 O 0.9221 0.0028 0.9936  0.14
17 O 0.1320 0.8618 0.7865  0.01
18 O 0.1324 0.3505 0.7864  0.01
19 O 0.6320 0.1382 0.2135  0.01
20 O 0.6324 0.6495 0.2136  0.01
21 O 0.3595 0.5487 0.9034  0.19
22 O 0.8595 0.4513 0.0966  0.19
23 O 0.5959 0.6721 0.6570  0.18
24 O 0.0959 0.3279 0.3430  0.18
25 O 0.3637 0.5463 0.4523  0.01
26 O 0.3634 0.0013 0.4525  0.01
27 O 0.8637 0.4537 0.5477  0.01
28 O 0.8634 0.9987 0.5475  0.01

***

6.
Here is a relaxed HgAsPd2 crystal from the Alexandria database. Energies are from GGA-PBE.

Calculated values
**DFT total energy**: -0.14708 Ha/atom
**Space-group type**: R3m
**Calculated volume**: 71 Å³/cell
**Crystal system**: trigonal
**D(E_F)**: 0.60 states/eV per atom

abc: 3.1387 3.1387 8.5001
angles: 79.36 79.36 60.00
Element x y z (fractional)
1 Hg 0.4998 0.4998 0.5006
2 As 0.6671 0.6671 0.9988
3 Pd 0.0748 0.0748 0.7757
4 Pd 0.2584 0.2584 0.2249

***

7.
Here is a relaxed MnIn2P crystal from the Alexandria database. Energies are from GGA-PBE.

Calculated values
**DFT total energy**: -0.17365 Ha/atom
**Space-group type**: I-42d
**Calculated volume**: 177 Å³/cell
**Crystal system**: tetragonal
**D(E_F)**: 0.45 states/eV per atom

abc: 8.0384 8.0384 6.3114
angles: 50.45 50.45 90.00
Site moments in Bohr magnetons follow the coordinates.
Element x y z (fractional)
1 P 0.5000 0.5000 0.0000  0.04
2 P 0.2500 0.7500 0.5000  0.04
3 Mn 0.0000 0.0000 0.0000  4.08
4 Mn 0.7500 0.2500 0.5000  4.08
5 In 0.5821 0.1250 0.2500  0.00
6 In 0.1679 0.6250 0.2500  0.01
7 In 0.3750 0.4179 0.7500  0.01
8 In 0.8750 0.8321 0.7500  0.02

***

8.
Here is a relaxed ZnPPt4 crystal from the Alexandria database. Energies are from GGA-PBE.

Calculated values
**Energy above the most stable polymorph in this dataset**: 3.66 eV per formula unit
**DFT total energy**: -0.17847 Ha/atom
**Space-group type**: F-43m
**Calculated volume**: 103 Å³/cell
**Crystal system**: cubic
**D(E_F)**: 1.49 states/eV per atom

abc: 5.2626 5.2626 5.2626
angles: 60.00 60.00 60.00
Element x y z (fractional)
1 Zn 0.7500 0.7500 0.7500
2 P 0.0000 0.0000 0.0000
3 Pt 0.8754 0.3749 0.3749
4 Pt 0.3749 0.3749 0.8754
5 Pt 0.3749 0.8754 0.3749
6 Pt 0.3749 0.3749 0.3749